1.
ScGa3Fe3: optimized geometry, PBE.

The structure in POSCAR format:
```
ScGa3Fe3
1.0
6.470 0.000 0.000
0.000 6.470 0.000
0.000 0.000 6.470
Sc Ga Fe
2 6 6
direct
0.000 0.000 0.000
0.500 0.500 0.500
0.000 0.250 0.500
0.000 0.750 0.500
0.250 0.500 0.000
0.500 0.000 0.250
0.500 0.000 0.750
0.750 0.500 0.000
0.000 0.500 0.250
0.000 0.500 0.750
0.250 0.000 0.500
0.500 0.250 0.000
0.500 0.750 0.000
0.750 0.000 0.500
```

Summary:
* symmetry: No. 223
* crystal system: cubic
* formation enthalpy at 0 K: 0.608 eV/atom


2.
Na2AlH2Se2: optimized geometry, PBE.

The structure in POSCAR format:
```
Na2AlH2Se2
1.0
5.467 -2.012 0.000
5.467 2.012 0.000
-2.902 0.000 5.478
Na Al H Se
2 1 2 2
direct
0.207 0.207 0.233
0.793 0.793 0.767
0.000 0.000 0.500
0.171 0.171 0.604
0.829 0.829 0.396
0.479 0.479 0.216
0.521 0.521 0.784
```

Summary:
* energy: -23.72 eV per cell
* symmetry: No. 12
* crystal system: monoclinic


3.
AlB2Cl: optimized geometry, PBE.

The structure in POSCAR format:
```
AlB2Cl
1.0
0.000 2.984 2.984
2.984 0.000 2.984
2.984 2.984 0.000
Al B Cl
1 2 1
direct
0.000 0.000 0.000
0.250 0.250 0.250
0.750 0.750 0.750
0.500 0.500 0.500
```

Summary:
* ΔE_f (raw): 1749 meV per atom
* symmetry: No. 225
* crystal system: cubic


4.
TlIn2Hg3: optimized geometry, PBE.

The structure in POSCAR format:
```
TlIn2Hg3
1.0
2.467 -7.979 0.000
2.467 7.979 0.000
0.000 0.000 4.167
Tl In Hg
1 2 3
direct
0.000 0.000 0.000
0.334 0.666 0.000
0.666 0.334 0.000
0.173 0.827 0.500
0.500 0.500 0.500
0.827 0.173 0.500
```

Summary:
* symmetry: No. 65
* crystal system: orthorhombic
* formation enthalpy at 0 K: 0.000 eV/atom


5.
CuPt: optimized geometry, PBE.

The structure in POSCAR format:
```
CuPt
1.0
6.640 0.000 0.000
0.000 5.375 0.000
-0.047 0.000 4.705
Cu Pt
6 6
direct
0.000 0.122 0.250
0.000 0.878 0.750
0.335 0.376 0.082
0.335 0.624 0.582
0.665 0.376 0.418
0.665 0.624 0.918
0.000 0.379 0.750
0.000 0.621 0.250
0.332 0.132 0.575
0.332 0.868 0.075
0.668 0.132 0.925
0.668 0.868 0.425
```

Summary:
* symmetry: No. 13
* crystal system: monoclinic
* formation enthalpy at 0 K: -0.124 eV/atom


6.
La12Y3Pu: optimized geometry, PBE.

The structure in POSCAR format:
```
La12Y3Pu
1.0
5.201 0.000 0.000
0.000 5.201 0.000
0.000 0.000 20.817
La Y Pu
12 3 1
direct
0.000 0.000 0.000
0.000 0.000 0.248
0.000 0.000 0.500
0.000 0.000 0.752
0.000 0.500 0.121
0.000 0.500 0.374
0.000 0.500 0.626
0.000 0.500 0.879
0.500 0.000 0.121
0.500 0.000 0.374
0.500 0.000 0.626
0.500 0.000 0.879
0.500 0.500 0.249
0.500 0.500 0.500
0.500 0.500 0.751
0.500 0.500 0.000
```

Summary:
* symmetry: No. 123
* crystal system: tetragonal
* formation enthalpy at 0 K: 0.035 eV/atom